(1)
First-principles (GGA-PBE) data for a relaxed structure of NiW2Au, as listed in the Alexandria database.

Unit cell a=4.249 b=2.678 c=5.473 alpha=78.91 beta=90.00 gamma=90.00
Sites, in units of the cell vectors:
W 0.000 0.987 0.974
Au 0.000 0.681 0.504
W 0.500 0.274 0.248
Ni 0.500 0.559 0.775

- relative energy among the computed polymorphs (eV per formula unit) = 0.28
- raw total energy (Ry/atom) = -0.625
- E_form (kJ/mol of atoms) = 22.8
- DOS(E_F) (states/eV/atom) = 0.615
- symmetry = Pm, No. 6

(2)
First-principles (GGA-PBE) data for a relaxed structure of RbAsH2S4, as listed in the Alexandria database.

Unit cell a=5.071 b=6.549 c=6.549 alpha=78.44 beta=67.22 gamma=67.22
Sites, in units of the cell vectors:
S 0.912 0.490 0.209
S 0.611 0.510 0.791
Rb 0.000 0.000 0.000
H 0.146 0.354 0.354
H 0.854 0.646 0.646
As 0.500 0.500 0.500
S 0.088 0.791 0.510
S 0.389 0.209 0.490

- raw total energy (Ry/atom) = -0.288
- DOS(E_F) (states/eV/atom) = 0.000
- symmetry = I222, No. 23

(3)
First-principles (GGA-PBE) data for a relaxed structure of Nd2Tm8Mg, as listed in the Alexandria database.

Unit cell a=5.481 b=7.482 c=9.624 alpha=112.87 beta=106.54 gamma=90.00
Sites, in units of the cell vectors:
Tm 0.000 0.259 0.000
Mg 0.500 0.000 0.000
Tm 0.176 0.176 0.353
Tm 0.363 0.132 0.726
Tm 0.637 0.407 0.274
Tm 0.000 0.741 0.000
Nd 0.194 0.694 0.388
Tm 0.363 0.593 0.726
Nd 0.806 0.306 0.612
Tm 0.824 0.824 0.647
Tm 0.637 0.868 0.274

- relative energy among the computed polymorphs (eV per formula unit) = 0.00
- raw total energy (Ry/atom) = -0.305
- E_form (kJ/mol of atoms) = 10.9
- DOS(E_F) (states/eV/atom) = 1.549
- symmetry = Immm, No. 71

(4)
First-principles (GGA-PBE) data for a relaxed structure of NaLaSi4, as listed in the Alexandria database.

Unit cell a=4.462 b=4.145 c=6.931 alpha=90.00 beta=90.00 gamma=90.00
Sites, in units of the cell vectors:
Si 0.499 0.497 0.329
Si 0.499 0.997 0.168
Si 0.498 0.997 0.829
Si 0.499 0.497 0.667
Na 0.999 0.497 0.998
La 0.999 0.997 0.498

- relative energy among the computed polymorphs (eV per formula unit) = 0.00
- raw total energy (Ry/atom) = -0.359
- DOS(E_F) (states/eV/atom) = 0.449
- formation energy (no corrections) (eV/atom) = -0.227
- symmetry = Pmmm, No. 47

(5)
First-principles (GGA-PBE) data for a relaxed structure of CaZrAg2F8, as listed in the Alexandria database.

Unit cell a=3.792 b=5.971 c=7.762 alpha=90.00 beta=90.00 gamma=90.06
Sites, in units of the cell vectors:
Zr 0.000 0.000 0.000
F 0.501 0.226 0.500
F 0.500 0.196 0.000
F 0.000 0.210 0.782
Ag 0.500 0.500 0.267
F 0.000 0.210 0.218
Ca 0.000 0.000 0.500
F 0.000 0.790 0.218
F 0.500 0.804 0.000
F 0.000 0.790 0.782
Ag 0.500 0.500 0.733
F 0.499 0.774 0.500

- raw total energy (Ry/atom) = -0.398
- DOS(E_F) (states/eV/atom) = 0.000
- formation energy (no corrections) (eV/atom) = -2.812
- symmetry = P2/m, No. 10

(6)
First-principles (GGA-PBE) data for a relaxed structure of RbCr5S8, as listed in the Alexandria database.

Unit cell a=3.509 b=8.767 c=9.199 alpha=105.13 beta=101.00 gamma=90.00
Sites, in units of the cell vectors:
S 0.086 0.831 0.172
Cr 0.341 0.026 0.682
S 0.172 0.485 0.345
Cr 0.000 0.000 0.000
S 0.577 0.147 0.154
Rb 0.500 0.500 0.000
Cr 0.704 0.334 0.409
Cr 0.659 0.974 0.318
S 0.914 0.169 0.828
S 0.828 0.515 0.655
S 0.238 0.156 0.477
Cr 0.296 0.666 0.591
S 0.423 0.853 0.846
S 0.762 0.844 0.524

- raw total energy (Ry/atom) = -0.490
- formation energy (no corrections) (eV/atom) = -0.803
- symmetry = C2/m, No. 12

(7)
First-principles (GGA-PBE) data for a relaxed structure of LiMg2Ru, as listed in the Alexandria database.

Unit cell a=2.850 b=2.850 c=9.309 alpha=90.00 beta=90.00 gamma=111.30
Sites, in units of the cell vectors:
Li 0.500 0.500 0.750
Mg 0.000 0.000 0.477
Ru 0.500 0.500 0.250
Mg 0.000 0.000 0.023

- raw total energy (Ry/atom) = -0.257
- E_form (kJ/mol of atoms) = 9.1
- DOS(E_F) (states/eV/atom) = 0.714
- symmetry = Cmmm, No. 65

(8)
First-principles (GGA-PBE) data for a relaxed structure of TbCd2InSn, as listed in the Alexandria database.

Unit cell a=4.651 b=6.201 c=9.427 alpha=90.00 beta=90.00 gamma=112.03
Sites, in units of the cell vectors:
Tb 0.554 0.109 0.750
In 0.162 0.323 0.250
Sn 0.000 0.000 0.500
Tb 0.446 0.891 0.250
Sn 0.000 0.000 0.000
Cd 0.742 0.483 0.410
Cd 0.258 0.517 0.590
Cd 0.258 0.517 0.910
In 0.838 0.677 0.750
Cd 0.742 0.483 0.090

- raw total energy (Ry/atom) = -0.211
- E_form (kJ/mol of atoms) = -21.8
- DOS(E_F) (states/eV/atom) = 0.349
- symmetry = Cmcm, No. 63